# TbHoEr4

TbHoEr4 after structural relaxation (GGA-PBE, Alexandria).

```
TbHoEr4
1.0
3.450 0.000 0.000
0.000 5.546 0.000
0.000 0.000 9.594
Tb Ho Er
1 1 4
Cartesian
0.000 0.000 0.000
0.000 2.773 4.797
1.725 0.000 3.205
1.725 0.000 6.389
1.725 2.773 1.606
1.725 2.773 7.988
```

The value obtained for the mass density is 8.98 g/cm3. The value obtained for the volume is 184 Å³/f.u. The offset from the most stable computed form is 0.0000 eV per atom. The value obtained for the formation energy is 77 meV/atom.